The following is a DFT calculation (PBE) of a geometry-optimized TiCuH structure.

Cell: 2.8469 2.8476 3.7654 Å, 89.99 90.00 90.00°
Element x y z (fractional)
Cu (0.8669, 0.7258, 0.6702)
H (0.8670, 0.7259, 0.1705)
Ti (0.3669, 0.2258, 0.1701)

Fermi-level density of states = 2.2 states/eV/cell
offset from the most stable computed form = 0 meV per atom
total magnetic moment = 0.0 Bohr magnetons per cell
SG = No. 123



The following is a DFT calculation (PBE) of a geometry-optimized Ti4CuH structure.

Cell: 2.9378 5.9723 10.3369 Å, 107.35 90.00 90.00°
Element x y z (fractional)
Cu (0.0000, 0.0000, 0.5000)
Cu (0.5000, 0.5000, 0.0000)
Ti (0.4995, 0.8080, 0.6503)
Ti (0.0003, 0.8434, 0.1595)
Ti (0.5005, 0.1920, 0.3497)
Ti (0.9997, 0.1566, 0.8405)
Ti (0.5003, 0.6566, 0.3405)
Ti (0.4997, 0.3434, 0.6595)
Ti (0.9995, 0.6920, 0.8497)
Ti (0.0005, 0.3080, 0.1503)
H (0.0000, 0.0000, 0.0000)
H (0.5000, 0.5000, 0.5000)

uncorrected energy = -78.48 eV for the cell shown
Fermi-level density of states = 9.8 states/eV/cell
total magnetic moment = 0.0 Bohr magnetons per cell
SG = No. 12



The following is a DFT calculation (PBE) of a geometry-optimized Ti3Cu5H12 structure.

Cell: 9.2356 9.2356 9.2356 Å, 109.47 109.47 109.47°
Element x y z (fractional)
Ti (0.8750, 0.1250, 0.2500)
Ti (0.1250, 0.2500, 0.8750)
Ti (0.7500, 0.8750, 0.6250)
Ti (0.8750, 0.7500, 0.1250)
Ti (0.1250, 0.8750, 0.7500)
Ti (0.2500, 0.1250, 0.3750)
Ti (0.3750, 0.6250, 0.2500)
Ti (0.6250, 0.3750, 0.7500)
Ti (0.6250, 0.2500, 0.3750)
Ti (0.2500, 0.6250, 0.8750)
Ti (0.3750, 0.7500, 0.6250)
Ti (0.7500, 0.3750, 0.1250)
H (0.1743, 0.0888, 0.9505)
H (0.2762, 0.8616, 0.9505)
H (0.4146, 0.2762, 0.3257)
H (0.0888, 0.9146, 0.1384)
H (0.8257, 0.9146, 0.2762)
H (0.8616, 0.5854, 0.9112)
H (0.2762, 0.4146, 0.8257)
H (0.4505, 0.6743, 0.0888)
H (0.4505, 0.7762, 0.8616)
H (0.9146, 0.0888, 0.6384)
H (0.7762, 0.4505, 0.3616)
H (0.9112, 0.8257, 0.5495)
H (0.0495, 0.6384, 0.7238)
H (0.5888, 0.6384, 0.4146)
H (0.9146, 0.8257, 0.7762)
H (0.6384, 0.0495, 0.2238)
H (0.9112, 0.0854, 0.8616)
H (0.6384, 0.5888, 0.9146)
H (0.6743, 0.4505, 0.5888)
H (0.8257, 0.9112, 0.0495)
H (0.6743, 0.2238, 0.5854)
H (0.0495, 0.4112, 0.8257)
H (0.3257, 0.7762, 0.4146)
H (0.7762, 0.3257, 0.9146)
H (0.5854, 0.8616, 0.4112)
H (0.5854, 0.7238, 0.6743)
H (0.5495, 0.2238, 0.1384)
H (0.0888, 0.1743, 0.4505)
H (0.9505, 0.5888, 0.1743)
H (0.5888, 0.9505, 0.6743)
H (0.7238, 0.1384, 0.0495)
H (0.4112, 0.0495, 0.3257)
H (0.0854, 0.1743, 0.2238)
H (0.7238, 0.5854, 0.1743)
H (0.1384, 0.4146, 0.0888)
H (0.5495, 0.3257, 0.9112)
H (0.2238, 0.5495, 0.6384)
H (0.1743, 0.0854, 0.7238)
H (0.3616, 0.4112, 0.0854)
H (0.1384, 0.7238, 0.5495)
H (0.3616, 0.9505, 0.7762)
H (0.8616, 0.2762, 0.4505)
H (0.4112, 0.3616, 0.5854)
H (0.4146, 0.1384, 0.5888)
H (0.0854, 0.9112, 0.3616)
H (0.9505, 0.3616, 0.2762)
H (0.3257, 0.5495, 0.4112)
H (0.2238, 0.6743, 0.0854)
Cu (0.0000, 0.0000, 0.5000)
Cu (0.6250, 0.7500, 0.8750)
Cu (0.0000, 0.0000, 0.0000)
Cu (0.1250, 0.3750, 0.2500)
Cu (0.5000, 0.0000, 0.0000)
Cu (0.6250, 0.8750, 0.2500)
Cu (0.8750, 0.6250, 0.7500)
Cu (0.3750, 0.1250, 0.7500)
Cu (0.5000, 0.5000, 0.0000)
Cu (0.0000, 0.5000, 0.0000)
Cu (0.2500, 0.3750, 0.6250)
Cu (0.7500, 0.1250, 0.8750)
Cu (0.5000, 0.5000, 0.5000)
Cu (0.5000, 0.0000, 0.5000)
Cu (0.3750, 0.2500, 0.1250)
Cu (0.1250, 0.7500, 0.3750)
Cu (0.0000, 0.5000, 0.5000)
Cu (0.7500, 0.6250, 0.3750)
Cu (0.2500, 0.8750, 0.1250)
Cu (0.8750, 0.2500, 0.6250)

uncorrected energy = -342.44 eV for the cell shown
Fermi-level density of states = 23.3 states/eV/cell
total magnetic moment = 0.0 Bohr magnetons per cell
SG = No. 230



The following is a DFT calculation (PBE) of a geometry-optimized TiCuH structure.

Cell: 2.8254 2.8254 4.6209 Å, 90.00 90.00 120.00°
Element x y z (fractional)
Cu (0.0000, 0.0000, 0.9465)
H (0.3333, 0.6667, 0.6328)
Ti (0.6667, 0.3333, 0.4207)

Fermi-level density of states = 0.8 states/eV/cell
offset from the most stable computed form = 139 meV per atom
total magnetic moment = 0.0 Bohr magnetons per cell
SG = No. 156



The following is a DFT calculation (PBE) of a geometry-optimized Ti2CuH structure.

Cell: 4.6788 4.6788 6.1619 Å, 67.69 67.69 90.00°
Element x y z (fractional)
Cu (0.7500, 0.2500, 0.5000)
Cu (0.0000, 0.0000, 0.0000)
Ti (0.2892, 0.6250, 0.2500)
Ti (0.4608, 0.1250, 0.2500)
Ti (0.8750, 0.7108, 0.7500)
Ti (0.3750, 0.5392, 0.7500)
H (0.5000, 0.5000, 0.0000)
H (0.2500, 0.7500, 0.5000)

uncorrected energy = -43.99 eV for the cell shown
Fermi-level density of states = 6.8 states/eV/cell
total magnetic moment = 0.0 Bohr magnetons per cell
SG = No. 122



The following is a DFT calculation (PBE) of a geometry-optimized TiCuH2 structure.

Cell: 3.9668 3.9668 5.3596 Å, 68.28 68.28 90.00°
Element x y z (fractional)
H (0.8750, 0.8937, 0.7500)
H (0.6437, 0.1250, 0.2500)
H (0.1063, 0.6250, 0.2500)
H (0.3750, 0.3563, 0.7500)
Ti (0.5000, 0.5000, 0.0000)
Ti (0.2500, 0.7500, 0.5000)
Cu (0.0000, 0.0000, 0.0000)
Cu (0.7500, 0.2500, 0.5000)

Fermi-level density of states = 2.8 states/eV/cell
offset from the most stable computed form = 0 meV per atom
total magnetic moment = 0.0 Bohr magnetons per cell
SG = No. 122



The following is a DFT calculation (PBE) of a geometry-optimized Ti2CuH structure.

Cell: 4.1723 4.1723 4.1723 Å, 60.00 60.00 60.00°
Element x y z (fractional)
Ti (0.7500, 0.7500, 0.7500)
Ti (0.2500, 0.2500, 0.2500)
H (0.0000, 0.0000, 0.0000)
Cu (0.5000, 0.5000, 0.5000)

uncorrected energy = -22.24 eV for the cell shown
Fermi-level density of states = 5.5 states/eV/cell
total magnetic moment = 0.0 Bohr magnetons per cell
SG = No. 225



The following is a DFT calculation (PBE) of a geometry-optimized TiV2CuH structure.

Cell: 3.7405 3.7405 4.1309 Å, 90.00 90.00 90.00°
Element x y z (fractional)
H (0.0000, 0.0000, 0.0000)
V (0.5000, 0.0000, 0.0000)
V (0.0000, 0.5000, 0.0000)
Cu (0.5000, 0.5000, 0.5000)
Ti (0.0000, 0.0000, 0.5000)

uncorrected energy = -33.72 eV for the cell shown
Fermi-level density of states = 6.0 states/eV/cell
total magnetic moment = 0.0 Bohr magnetons per cell
SG = No. 123



The following is a DFT calculation (PBE) of a geometry-optimized Ti2CuHW structure.

Cell: 4.1694 4.1694 3.6776 Å, 90.00 90.00 90.00°
Element x y z (fractional)
W (0.0000, 0.0000, 0.5000)
Ti (0.0000, 0.5000, 0.0000)
Ti (0.5000, 0.0000, 0.0000)
Cu (0.5000, 0.5000, 0.5000)
H (0.0000, 0.0000, 0.0000)

uncorrected energy = -36.33 eV for the cell shown
Fermi-level density of states = 4.5 states/eV/cell
total magnetic moment = 0.0 Bohr magnetons per cell
SG = No. 123



The following is a DFT calculation (PBE) of a geometry-optimized YTiCuH2 structure.

Cell: 3.8369 4.9568 3.8369 Å, 90.00 90.00 90.00°
Element x y z (fractional)
Cu (0.0000, 0.5000, 0.0000)
Y (0.5000, 0.5000, 0.5000)
Ti (0.0000, 0.0000, 0.0000)
H (0.0000, 0.0000, 0.5000)
H (0.5000, 0.0000, 0.0000)

uncorrected energy = -24.97 eV for the cell shown
Fermi-level density of states = 4.3 states/eV/cell
total magnetic moment = 0.0 Bohr magnetons per cell
SG = No. 123



Q: What is the Fermi-level density of states in the first record?
A: 2.2 states/eV/cell